Entry from the Alexandria database: a relaxed structure of Sm2ErPuSe5 (PBE).

POSCAR file:
```
Sm2ErPuSe5
1.0
5.049 0.000 0.000
0.000 5.049 0.000
0.000 0.000 10.852
Sm Er Pu Se
2 1 1 5
direct
0.000 0.000 0.212
0.000 0.000 0.788
0.500 0.500 0.000
0.500 0.500 0.500
0.000 0.000 0.500
0.000 0.500 0.000
0.500 0.000 0.000
0.500 0.500 0.250
0.500 0.500 0.750
```

## Properties
space-group type = P4/mmm (123)
DFT total energy = -0.2300 Ha/atom
D(E_F) = 1.90 states/eV/atom